1.
Density functional theory data (PBE) for crystalline OsAu3 at its relaxed geometry.

Cell and atoms, written as POSCAR:
```
OsAu3
1.0
9.741 0.000 0.000
0.000 2.752 0.000
-0.858 0.000 5.082
Os Au
2 6
Cartesian
0.000 0.000 0.000
4.871 1.376 0.000
-0.429 1.376 2.541
2.154 1.376 1.227
1.859 0.000 3.854
4.442 0.000 2.541
7.025 0.000 1.227
6.729 1.376 3.854
```

* total energy: -4.7558 eV/atom
* M_tot: 0.00 μB per formula unit
* volume: 68.1 Å³/f.u.
* E_form: 0.51 eV per atom
* offset from the most stable computed form: 135 meV/atom

2.
Density functional theory data (PBE) for crystalline OsAu3 at its relaxed geometry.

Cell and atoms, written as POSCAR:
```
OsAu3
1.0
2.778 0.000 0.000
0.000 4.102 0.000
0.000 0.000 5.991
Os Au
1 3
Cartesian
0.000 0.000 0.000
0.000 0.000 2.995
1.389 2.051 1.420
1.389 2.051 4.570
```

* total energy: -4.7272 eV/atom
* M_tot: 0.55 μB per formula unit
* volume: 68.3 Å³/f.u.
* E_form: 0.54 eV per atom
* offset from the most stable computed form: 164 meV/atom

3.
Density functional theory data (PBE) for crystalline Os5Au at its relaxed geometry.

Cell and atoms, written as POSCAR:
```
Os5Au
1.0
0.000 3.628 3.628
3.628 0.000 3.628
3.628 3.628 0.000
Os Au
5 1
Cartesian
0.000 0.000 0.000
2.719 2.719 2.719
4.538 4.538 2.719
4.538 2.719 4.538
2.719 4.538 4.538
5.443 5.443 5.443
```

* total energy: -8.8876 eV/atom
* M_tot: 0.00 μB per formula unit
* volume: 95.5 Å³/f.u.
* E_form: 1.02 eV per atom
* offset from the most stable computed form: 705 meV/atom

> Number 2 is which compound?

OsAu3